[1]
Computed, not measured: a relaxed structure of Ba3BeSi at the PBE level of DFT.

Results
Energy relative to the elements, uncorrected   0.513 eV per atom
Symmetry   Pm-3m (221)

Cell lengths 5.8955, 5.8955, 5.8955 Å; angles 90.00, 90.00, 90.00 degrees
Positions (direct):
Ba  0.0000  0.0000  0.5000
Ba  0.0000  0.5000  0.0000
Ba  0.5000  0.0000  0.0000
Be  0.0000  0.0000  0.0000
Si  0.5000  0.5000  0.5000

---

[2]
Computed, not measured: a relaxed structure of BaBeSi2 at the PBE level of DFT.

Results
Energy relative to the elements, uncorrected   -0.025 eV per atom
Symmetry   R3m (160)

Cell lengths 3.9846, 3.9846, 18.5948 Å; angles 90.00, 90.00, 120.00 degrees
Positions (direct):
Ba  0.0000  0.0000  0.0000
Ba  0.3333  0.6667  0.6667
Ba  0.6667  0.3333  0.3333
Be  0.0000  0.0000  0.8112
Be  0.3333  0.6667  0.4778
Be  0.6667  0.3333  0.1445
Si  0.0000  0.0000  0.1944
Si  0.0000  0.0000  0.4578
Si  0.3333  0.6667  0.1245
Si  0.3333  0.6667  0.8611
Si  0.6667  0.3333  0.5277
Si  0.6667  0.3333  0.7911

---

[3]
Computed, not measured: a relaxed structure of Ba2TaBeSi at the PBE level of DFT.

Results
Energy relative to the elements, uncorrected   0.882 eV per atom
Symmetry   P4/mmm (123)

Cell lengths 6.2367, 6.2367, 4.0661 Å; angles 90.00, 90.00, 90.00 degrees
Positions (direct):
Ba  0.0000  0.5000  0.0000
Ba  0.5000  0.0000  0.0000
Ta  0.0000  0.0000  0.5000
Be  0.5000  0.5000  0.0000
Si  0.5000  0.5000  0.5000

---

Number 1: calculated total energy -2.471 eV/atom, calculated density 3.64 g cm⁻³. Number 2: calculated total energy -4.149 eV/atom, calculated density 3.95 g cm⁻³. Number 3: calculated total energy -4.087 eV/atom, calculated density 5.17 g cm⁻³.